Record 1
VASP calculation (PBE with a Hubbard U) on crystalline P2W2O11 at its relaxed geometry. Values from VASP.

As for the density of states at the Fermi level: 0.000 states/eV/f.u. The calculation puts the energy relative to the lowest polymorph listed for this composition at 1.5 kJ per mole of atoms.

Quantum ESPRESSO input file:
```
&SYSTEM
  ibrav = 0, nat = 30, ntyp = 3
/
ATOMIC_SPECIES
P 30.97 P.upf
W 183.84 W.upf
O 16.00 O.upf
ATOMIC_POSITIONS angstrom
P 5.723 -3.885 2.582
P 8.112 -3.743 -1.869
P 2.103 -0.400 0.297
P 3.010 -5.313 -0.464
W 0.956 -3.312 1.452
W 7.777 -5.887 0.665
W 4.596 -3.056 -2.341
W 5.619 -1.087 0.768
O 5.082 -2.645 1.893
O 0.438 -4.899 2.544
O 4.214 -4.632 -1.178
O 1.900 -5.686 -1.422
O 6.869 -6.570 -0.636
O 7.376 -7.433 1.861
O 4.519 -4.567 3.295
O 3.557 -0.540 0.689
O 6.658 -3.603 -2.261
O 6.262 -4.848 1.480
O 3.651 -6.553 0.225
O 1.863 -2.628 2.753
O 1.357 -1.766 0.257
O 7.286 -1.537 0.822
O 2.470 -4.350 0.638
O 5.649 0.092 2.395
O 2.929 -2.607 -2.394
O 6.833 -3.512 3.539
O 4.567 -4.235 -3.967
O 5.108 -2.072 -0.786
O 8.295 -4.299 -0.426
O -0.741 -2.528 1.845
CELL_PARAMETERS angstrom
-1.482 -5.055 3.690
3.202 -4.780 -5.262
7.013 0.637 3.690
```

***

Record 2
VASP calculation (PBE with a Hubbard U) on crystalline P2WO7 at its relaxed geometry. Values from VASP.

As for the density of states at the Fermi level: 0.000 states/eV/f.u. The calculation puts the energy relative to the lowest polymorph listed for this composition at 0.0 kJ per mole of atoms.

Quantum ESPRESSO input file:
```
&SYSTEM
  ibrav = 0, nat = 20, ntyp = 3
/
ATOMIC_SPECIES
P 30.97 P.upf
W 183.84 W.upf
O 16.00 O.upf
ATOMIC_POSITIONS angstrom
P -2.828 -5.902 8.500
P 2.983 -1.767 4.078
P -0.668 -4.091 4.994
P 0.473 -5.166 2.531
W 0.243 -6.281 7.352
W -0.013 -1.902 2.594
O -3.557 -4.854 7.661
O 1.775 -5.325 8.446
O -1.306 -5.628 8.529
O 2.410 -1.226 5.484
O 0.166 -4.624 6.170
O -1.196 -7.143 6.079
O 3.171 -3.267 4.310
O -2.164 -4.049 5.311
O -0.115 -2.760 4.514
O 1.938 -1.468 2.990
O -0.557 -5.147 3.781
O 0.451 -3.766 1.873
O 0.223 -0.886 0.759
O 1.857 -5.483 3.096
CELL_PARAMETERS angstrom
-5.475 -6.109 2.298
3.832 -3.106 0.874
1.799 0.948 6.806
```

***

Record 3
VASP calculation (PBE with a Hubbard U) on crystalline P2WO2 at its relaxed geometry. Values from VASP.

As for the density of states at the Fermi level: 1.468 states/eV/f.u. The calculation puts the energy relative to the lowest polymorph listed for this composition at 0.0 kJ per mole of atoms.

Quantum ESPRESSO input file:
```
&SYSTEM
  ibrav = 0, nat = 5, ntyp = 3
/
ATOMIC_SPECIES
P 30.97 P.upf
O 16.00 O.upf
W 183.84 W.upf
ATOMIC_POSITIONS angstrom
P 1.906 1.906 2.728
P 0.000 0.000 2.728
O 0.000 1.906 0.000
O 1.906 0.000 0.000
W 0.000 0.000 0.000
CELL_PARAMETERS angstrom
3.813 0.000 0.000
0.000 3.813 0.000
0.000 0.000 5.456
```